Entry from Alexandria via LeMat-Bulk: an optimized crystal structure of K3PO3F2 (PBE-GGA).

Computed properties:
As for the space-group type: Fmm2 (42). The total energy comes out at -5.506 eV/atom.

Lattice parameters (Å, degrees): 7.621 7.400 7.750 60.35 57.55 62.10
Element x y z (fractional)
K  0.000  0.000  0.000
K  0.371  0.371  0.629
K  0.437  0.437  0.063
K  0.502  0.896  0.498
K  0.896  0.502  0.104
K  0.937  0.937  0.563
P  0.444  0.954  0.046
P  0.954  0.444  0.556
O  0.137  0.241  0.520
O  0.241  0.137  0.102
O  0.480  0.898  0.863
O  0.643  0.957  0.043
O  0.898  0.480  0.759
O  0.957  0.643  0.357
F  0.209  0.685  0.791
F  0.382  0.736  0.264
F  0.685  0.209  0.315
F  0.736  0.382  0.618



Entry from Alexandria via LeMat-Bulk: an optimized crystal structure of La2SiNi (PBE-GGA).

Computed properties:
As for the space-group type: I-42d (122). The total energy comes out at -5.087 eV/atom.

Lattice parameters (Å, degrees): 8.630 8.630 8.630 139.67 139.67 58.35
Element x y z (fractional)
La  0.101  0.625  0.976
La  0.375  0.351  0.476
La  0.649  0.125  0.024
La  0.875  0.899  0.524
Si  0.250  0.750  0.500
Si  0.500  0.500  0.000
Ni  0.000  0.000  0.000
Ni  0.750  0.250  0.500



Entry from Alexandria via LeMat-Bulk: an optimized crystal structure of SrCaSbF2 (PBE-GGA).

Computed properties:
As for the space-group type: I4mm (107). The total energy comes out at -5.018 eV/atom.

Lattice parameters (Å, degrees): 7.546 7.546 7.546 149.64 149.64 43.48
Element x y z (fractional)
Sr  0.000  0.000  0.000
Ca  0.302  0.302  0.000
Sb  0.654  0.654  0.000
F  0.393  0.893  0.500
F  0.893  0.393  0.500



Entry from Alexandria via LeMat-Bulk: an optimized crystal structure of HoNbRu (PBE-GGA).

Computed properties:
As for the relative energy among the computed polymorphs: 0 meV per atom. The value obtained for the formation enthalpy at 0 K is -0.231 eV/atom. As for the space-group type: Amm2 (38). The total energy comes out at -8.205 eV/atom.

Lattice parameters (Å, degrees): 4.695 6.714 6.714 119.94 90.00 90.00
Element x y z (fractional)
Ho  0.000  0.000  0.000
Ho  0.000  0.161  0.580
Ho  0.000  0.580  0.161
Nb  0.500  0.331  0.331
Nb  0.500  0.581  0.828
Nb  0.500  0.828  0.581
Ru  0.000  0.581  0.581
Ru  0.500  0.247  0.914
Ru  0.500  0.914  0.247



Entry from Alexandria via LeMat-Bulk: an optimized crystal structure of FeNiC2 (PBE-GGA).

Computed properties:
As for the relative energy among the computed polymorphs: 595 meV per atom. The value obtained for the formation enthalpy at 0 K is 1.262 eV/atom. As for the space-group type: Fm-3m (225). The total energy comes out at -6.911 eV/atom.

Lattice parameters (Å, degrees): 3.553 3.553 3.553 60.00 60.00 60.00
Element x y z (fractional)
Fe  0.000  0.000  0.000
Ni  0.500  0.500  0.500
C  0.250  0.250  0.250
C  0.750  0.750  0.750



Entry from Alexandria via LeMat-Bulk: an optimized crystal structure of Ac2TaTiN5 (PBE-GGA).

Computed properties:
As for the space-group type: Cmc2_1 (36). The total energy comes out at -8.991 eV/atom.

Lattice parameters (Å, degrees): 7.532 7.532 10.907 90.00 90.00 153.75
Element x y z (fractional)
Ac  0.108  0.892  0.500
Ac  0.132  0.868  0.130
Ac  0.868  0.132  0.630
Ac  0.892  0.108  0.000
Ta  0.214  0.786  0.842
Ta  0.786  0.214  0.342
Ti  0.444  0.556  0.267
Ti  0.556  0.444  0.767
N  0.050  0.950  0.853
N  0.286  0.714  0.460
N  0.317  0.683  0.210
N  0.344  0.656  0.821
N  0.498  0.502  0.613
N  0.502  0.498  0.113
N  0.656  0.344  0.321
N  0.683  0.317  0.710
N  0.714  0.286  0.960
N  0.950  0.050  0.353



Entry from Alexandria via LeMat-Bulk: an optimized crystal structure of CeSm5Sn3 (PBE-GGA).

Computed properties:
The value obtained for the formation enthalpy at 0 K is -0.568 eV/atom. As for the space-group type: P6_3/mcm (193). The total energy comes out at -5.183 eV/atom.

Lattice parameters (Å, degrees): 9.546 9.546 6.647 90.00 90.00 120.00
Element x y z (fractional)
Ce  0.000  0.000  0.000
Ce  0.000  0.000  0.500
Sm  0.000  0.328  0.250
Sm  0.000  0.672  0.750
Sm  0.328  0.000  0.250
Sm  0.328  0.328  0.750
Sm  0.333  0.667  0.000
Sm  0.333  0.667  0.500
Sm  0.667  0.333  0.000
Sm  0.667  0.333  0.500
Sm  0.672  0.000  0.750
Sm  0.672  0.672  0.250
Sn  0.000  0.337  0.750
Sn  0.000  0.663  0.250
Sn  0.337  0.000  0.750
Sn  0.337  0.337  0.250
Sn  0.663  0.000  0.250
Sn  0.663  0.663  0.750



Entry from Alexandria via LeMat-Bulk: an optimized crystal structure of KBa2Os (PBE-GGA).

Computed properties:
As for the relative energy among the computed polymorphs: 268 meV per atom. The value obtained for the formation enthalpy at 0 K is 0.813 eV/atom. As for the space-group type: P4mm (99). The total energy comes out at -3.230 eV/atom.

Lattice parameters (Å, degrees): 4.389 4.389 10.798 90.00 90.00 90.00
Element x y z (fractional)
K  0.000  0.000  0.000
Ba  0.000  0.000  0.380
Ba  0.500  0.500  0.674
Os  0.500  0.500  0.427